! PBE KLaDy4Se8, optimized geometry; values from VASP
! energy relative to the elements, uncorrected = -1.77 eV per atom
! DOS(E_F) = 0.00 states/eV per cell
! energy = -0.20237 Ha/atom
! space group = R3m
! volume = 32.8 A^3/atom
&SYSTEM
  ibrav = 0, nat = 14, ntyp = 4
/
ATOMIC_SPECIES
K 39.10 K.upf
La 138.91 La.upf
Dy 162.50 Dy.upf
Se 78.96 Se.upf
ATOMIC_POSITIONS crystal
K 0.0000 0.0000 0.0000
La 0.3660 0.3660 0.3660
Dy 0.3657 0.3657 0.8839
Dy 0.3657 0.8839 0.3657
Dy 0.7440 0.7440 0.7440
Dy 0.8839 0.3657 0.3657
Se 0.1281 0.1281 0.5762
Se 0.1281 0.5762 0.1281
Se 0.1369 0.1369 0.1369
Se 0.1387 0.6189 0.6189
Se 0.5762 0.1281 0.1281
Se 0.6129 0.6129 0.6129
Se 0.6189 0.1387 0.6189
Se 0.6189 0.6189 0.1387
CELL_PARAMETERS angstrom
4.2800 2.4710 7.2275
-4.2800 2.4710 7.2275
0.0000 -4.9421 7.2275

! PBE K2LaDySe4, optimized geometry; values from VASP
! energy relative to the elements, uncorrected = -1.79 eV per atom
! DOS(E_F) = 0.00 states/eV per cell
! energy = -0.18370 Ha/atom
! space group = P2/m
! volume = 31.2 A^3/atom
&SYSTEM
  ibrav = 0, nat = 8, ntyp = 4
/
ATOMIC_SPECIES
K 39.10 K.upf
La 138.91 La.upf
Dy 162.50 Dy.upf
Se 78.96 Se.upf
ATOMIC_POSITIONS crystal
K 0.0000 0.0000 0.0000
K 0.5000 0.5000 0.0000
La 0.0000 0.5000 0.5000
Dy 0.5000 0.0000 0.5000
Se 0.2475 0.0000 0.7100
Se 0.2747 0.5000 0.2940
Se 0.7253 0.5000 0.7060
Se 0.7525 0.0000 0.2900
CELL_PARAMETERS angstrom
7.5009 0.0000 0.0000
0.0000 4.3276 0.0000
-2.4952 0.0000 7.6892

! PBE K3La3DyTe8, optimized geometry; values from VASP
! energy relative to the elements, uncorrected = -1.38 eV per atom
! DOS(E_F) = 11.52 states/eV per cell
! energy = -0.16778 Ha/atom
! space group = C2/m
! volume = 41.4 A^3/atom
&SYSTEM
  ibrav = 0, nat = 15, ntyp = 4
/
ATOMIC_SPECIES
K 39.10 K.upf
La 138.91 La.upf
Dy 162.50 Dy.upf
Te 127.60 Te.upf
ATOMIC_POSITIONS crystal
K 0.0000 0.0000 0.0000
K 0.0000 0.5000 0.0000
K 0.5000 0.0000 0.0000
La 0.0000 0.5000 0.5000
La 0.5000 0.0000 0.5000
La 0.5000 0.5000 0.5000
Dy 0.0000 0.0000 0.5000
Te 0.2305 0.2305 0.7086
Te 0.2305 0.7476 0.7087
Te 0.2524 0.7695 0.2913
Te 0.2607 0.2607 0.2819
Te 0.7393 0.7393 0.7181
Te 0.7476 0.2305 0.7087
Te 0.7695 0.2524 0.2913
Te 0.7695 0.7695 0.2914
CELL_PARAMETERS angstrom
8.0144 -4.6206 0.0000
8.0144 4.6206 0.0000
-5.3489 0.0000 8.3826

! PBE K4LaDy3Te8, optimized geometry; values from VASP
! energy relative to the elements, uncorrected = -1.42 eV per atom
! energy = -0.16295 Ha/atom
! space group = R-3m
! volume = 37.0 A^3/atom
&SYSTEM
  ibrav = 0, nat = 16, ntyp = 4
/
ATOMIC_SPECIES
K 39.10 K.upf
La 138.91 La.upf
Dy 162.50 Dy.upf
Te 127.60 Te.upf
ATOMIC_POSITIONS crystal
K 0.0000 0.0000 0.0000
K 0.0000 0.5000 0.5000
K 0.5000 0.0000 0.5000
K 0.5000 0.5000 0.0000
La 0.5000 0.5000 0.5000
Dy 0.0000 0.0000 0.5000
Dy 0.0000 0.5000 0.0000
Dy 0.5000 0.0000 0.0000
Te 0.2272 0.7420 0.7420
Te 0.2357 0.2357 0.2357
Te 0.2580 0.2580 0.7728
Te 0.2580 0.7728 0.2580
Te 0.7420 0.2272 0.7420
Te 0.7420 0.7420 0.2272
Te 0.7643 0.7643 0.7643
Te 0.7728 0.2580 0.2580
CELL_PARAMETERS angstrom
4.5509 2.6275 8.2407
-4.5509 2.6275 8.2407
0.0000 -5.2550 8.2407

! PBE K3LaDy2Te6, optimized geometry; values from VASP
! energy relative to the elements, uncorrected = -1.43 eV per atom
! DOS(E_F) = 0.00 states/eV per cell
! energy = -0.16356 Ha/atom
! space group = C2/m
! volume = 37.2 A^3/atom
&SYSTEM
  ibrav = 0, nat = 12, ntyp = 4
/
ATOMIC_SPECIES
K 39.10 K.upf
La 138.91 La.upf
Dy 162.50 Dy.upf
Te 127.60 Te.upf
ATOMIC_POSITIONS crystal
K 0.0000 0.0000 0.0000
K 0.3359 0.6641 0.0000
K 0.6641 0.3359 0.0000
La 0.5000 0.5000 0.5000
Dy 0.1670 0.8330 0.5000
Dy 0.8330 0.1670 0.5000
Te 0.0853 0.4295 0.2891
Te 0.2258 0.2258 0.7104
Te 0.4295 0.0853 0.2891
Te 0.5705 0.9147 0.7109
Te 0.7742 0.7742 0.2896
Te 0.9147 0.5705 0.7109
CELL_PARAMETERS angstrom
3.9569 -6.8549 0.0000
3.9569 6.8549 0.0000
-2.6427 0.0000 8.2392

! PBE KLiDy2S4, optimized geometry; values from VASP
! energy relative to the elements, uncorrected = -1.86 eV per atom
! DOS(E_F) = 0.00 states/eV per cell
! energy = -0.20017 Ha/atom
! space group = Cmcm
! volume = 23.6 A^3/atom
&SYSTEM
  ibrav = 0, nat = 16, ntyp = 4
/
ATOMIC_SPECIES
K 39.10 K.upf
Li 6.94 Li.upf
Dy 162.50 Dy.upf
S 32.06 S.upf
ATOMIC_POSITIONS crystal
K 0.1073 0.8927 0.7500
K 0.8927 0.1073 0.2500
Li 0.1666 0.8334 0.2500
Li 0.8334 0.1666 0.7500
Dy 0.3660 0.6340 0.5613
Dy 0.3660 0.6340 0.9387
Dy 0.6340 0.3660 0.0613
Dy 0.6340 0.3660 0.4387
S 0.0000 0.0000 0.0000
S 0.0000 0.0000 0.5000
S 0.2620 0.7380 0.1075
S 0.2620 0.7380 0.3925
S 0.4254 0.5746 0.7500
S 0.5746 0.4254 0.2500
S 0.7380 0.2620 0.6075
S 0.7380 0.2620 0.8925
CELL_PARAMETERS angstrom
2.0128 -6.7180 0.0000
2.0128 6.7180 0.0000
0.0000 0.0000 13.9373

! PBE KLiDy2Se4, optimized geometry; values from VASP
! energy relative to the elements, uncorrected = -1.71 eV per atom
! DOS(E_F) = 0.00 states/eV per cell
! energy = -0.18297 Ha/atom
! space group = Cmcm
! volume = 26.7 A^3/atom
&SYSTEM
  ibrav = 0, nat = 16, ntyp = 4
/
ATOMIC_SPECIES
K 39.10 K.upf
Li 6.94 Li.upf
Dy 162.50 Dy.upf
Se 78.96 Se.upf
ATOMIC_POSITIONS crystal
K 0.1092 0.8908 0.7500
K 0.8908 0.1092 0.2500
Li 0.1651 0.8349 0.2500
Li 0.8349 0.1651 0.7500
Dy 0.3660 0.6340 0.5624
Dy 0.3660 0.6340 0.9376
Dy 0.6340 0.3660 0.0624
Dy 0.6340 0.3660 0.4376
Se 0.0000 0.0000 0.0000
Se 0.0000 0.0000 0.5000
Se 0.2646 0.7354 0.1085
Se 0.2646 0.7354 0.3915
Se 0.4298 0.5702 0.7500
Se 0.5702 0.4298 0.2500
Se 0.7354 0.2646 0.6085
Se 0.7354 0.2646 0.8915
CELL_PARAMETERS angstrom
2.0931 -6.9894 0.0000
2.0931 6.9894 0.0000
0.0000 0.0000 14.5782

! PBE KDy2Lu, optimized geometry; values from VASP
! DOS(E_F) = 3.58 states/eV per cell
! energy relative to the elements = 0.958 eV per formula unit
! energy = -0.12738 Ha/atom
! space group = R-3m
! volume = 35.9 A^3/atom
&SYSTEM
  ibrav = 0, nat = 4, ntyp = 3
/
ATOMIC_SPECIES
K 39.10 K.upf
Dy 162.50 Dy.upf
Lu 174.97 Lu.upf
ATOMIC_POSITIONS crystal
K 0.0000 0.0000 0.0000
Dy 0.0969 0.0969 0.0969
Dy 0.9031 0.9031 0.9031
Lu 0.5000 0.5000 0.5000
CELL_PARAMETERS angstrom
1.7751 1.0249 13.1589
-1.7751 1.0249 13.1589
0.0000 -2.0497 13.1589

! PBE KDyMgO3, optimized geometry; values from VASP
! energy relative to the elements, uncorrected = -2.59 eV per atom
! DOS(E_F) = 0.00 states/eV per cell
! energy = -0.23105 Ha/atom
! space group = P2_1/m
! volume = 19.3 A^3/atom
&SYSTEM
  ibrav = 0, nat = 12, ntyp = 4
/
ATOMIC_SPECIES
K 39.10 K.upf
Dy 162.50 Dy.upf
Mg 24.30 Mg.upf
O 16.00 O.upf
ATOMIC_POSITIONS crystal
K 0.0385 0.2500 0.3414
K 0.9615 0.7500 0.6586
Dy 0.4649 0.7500 0.6404
Dy 0.5351 0.2500 0.3596
Mg 0.4270 0.2500 0.8862
Mg 0.5730 0.7500 0.1138
O 0.2679 0.2500 0.6686
O 0.3498 0.7500 0.3891
O 0.4447 0.2500 0.0985
O 0.5553 0.7500 0.9015
O 0.6502 0.2500 0.6109
O 0.7321 0.7500 0.3314
CELL_PARAMETERS angstrom
7.2602 0.0000 0.0000
0.0000 3.5464 0.0000
-3.5752 0.0000 8.9826

! PBE K3Dy2MgSe6, optimized geometry; values from VASP
! energy relative to the elements, uncorrected = -1.47 eV per atom
! DOS(E_F) = 8.39 states/eV per cell
! energy = -0.16134 Ha/atom
! space group = C2/m
! volume = 28.8 A^3/atom
&SYSTEM
  ibrav = 0, nat = 12, ntyp = 4
/
ATOMIC_SPECIES
K 39.10 K.upf
Dy 162.50 Dy.upf
Mg 24.30 Mg.upf
Se 78.96 Se.upf
ATOMIC_POSITIONS crystal
K 0.0000 0.0000 0.0000
K 0.3324 0.6676 0.0000
K 0.6676 0.3324 0.0000
Dy 0.1666 0.8334 0.5000
Dy 0.8334 0.1666 0.5000
Mg 0.5000 0.5000 0.5000
Se 0.1046 0.4324 0.2972
Se 0.2398 0.2398 0.7032
Se 0.4324 0.1046 0.2972
Se 0.5676 0.8954 0.7028
Se 0.7602 0.7602 0.2968
Se 0.8954 0.5676 0.7028
CELL_PARAMETERS angstrom
3.5851 -6.2117 0.0000
3.5851 6.2117 0.0000
-2.3917 0.0000 7.7490

! PBE KDyMgSe3, optimized geometry; values from VASP
! energy relative to the elements, uncorrected = -1.55 eV per atom
! DOS(E_F) = 0.00 states/eV per cell
! energy = -0.16574 Ha/atom
! space group = P2_1/m
! volume = 30.9 A^3/atom
&SYSTEM
  ibrav = 0, nat = 12, ntyp = 4
/
ATOMIC_SPECIES
K 39.10 K.upf
Dy 162.50 Dy.upf
Mg 24.30 Mg.upf
Se 78.96 Se.upf
ATOMIC_POSITIONS crystal
K 0.2065 0.2500 0.2230
K 0.7935 0.7500 0.7770
Dy 0.3318 0.7500 0.8653
Dy 0.6682 0.2500 0.1347
Mg 0.0848 0.2500 0.6097
Mg 0.9152 0.7500 0.3903
Se 0.1124 0.2500 0.8656
Se 0.2088 0.7500 0.5427
Se 0.4618 0.7500 0.1555
Se 0.5382 0.2500 0.8445
Se 0.7912 0.2500 0.4573
Se 0.8876 0.7500 0.1344
CELL_PARAMETERS angstrom
9.0482 0.0000 0.0000
0.0000 4.2501 0.0000
-3.0217 0.0000 9.6546

! PBE K3Dy3MgTe8, optimized geometry; values from VASP
! energy relative to the elements, uncorrected = -1.12 eV per atom
! DOS(E_F) = 12.64 states/eV per cell
! energy = -0.14868 Ha/atom
! space group = C2/m
! volume = 37.4 A^3/atom
&SYSTEM
  ibrav = 0, nat = 15, ntyp = 4
/
ATOMIC_SPECIES
K 39.10 K.upf
Dy 162.50 Dy.upf
Mg 24.30 Mg.upf
Te 127.60 Te.upf
ATOMIC_POSITIONS crystal
K 0.0000 0.0000 0.0000
K 0.0000 0.5000 0.0000
K 0.5000 0.0000 0.0000
Dy 0.0000 0.5000 0.5000
Dy 0.5000 0.0000 0.5000
Dy 0.5000 0.5000 0.5000
Mg 0.0000 0.0000 0.5000
Te 0.2342 0.2342 0.7052
Te 0.2348 0.7364 0.7055
Te 0.2631 0.2631 0.2898
Te 0.2636 0.7652 0.2945
Te 0.7364 0.2348 0.7055
Te 0.7369 0.7369 0.7102
Te 0.7652 0.2636 0.2945
Te 0.7658 0.7658 0.2948
CELL_PARAMETERS angstrom
7.5056 -4.3493 0.0000
7.5056 4.3493 0.0000
-4.9872 0.0000 8.5898

> What is the volume in the eighth record?

35.9 A^3/atom

> Number 7 is which compound?

KLiDy2Se4